1.
Below is an optimized crystal structure of Cs2KGaCl6, with properties calculated at the PBEsol level.

Values from the calculation:
formation energy from raw total energies = -1.665 eV/atom

Lattice parameters (Å, degrees): 7.506 7.506 7.506 60.00 60.00 60.00
Fractional coordinates of all 10 atoms:
Ga1 0.500 0.500 0.500
K1 0.000 0.000 0.000
Cs1 0.250 0.250 0.250
Cs2 0.750 0.750 0.750
Cl1 0.723 0.723 0.277
Cl2 0.277 0.277 0.723
Cl3 0.277 0.723 0.277
Cl4 0.723 0.277 0.277
Cl5 0.723 0.277 0.723
Cl6 0.277 0.723 0.723

=====

2.
Below is an optimized crystal structure of TaAgW2, with properties calculated at the PBEsol level.

Values from the calculation:
energy above the lowest structure with this stoichiometry = 0.0789 eV per atom
formation enthalpy at 0 K = 0.422 eV per atom

Lattice parameters (Å, degrees): 4.173 4.757 4.173 63.98 90.00 116.02
Fractional coordinates of all 4 atoms:
Ag1 0.500 0.000 0.500
W1 0.000 0.000 0.000
W2 0.250 0.500 0.250
Ta1 0.750 0.500 0.750

=====

3.
Below is an optimized crystal structure of Tl2InTcF, with properties calculated at the PBEsol level.

Values from the calculation:
formation energy from raw total energies = 0.890 eV/atom

Lattice parameters (Å, degrees): 5.178 5.712 5.712 90.00 90.00 90.00
Site moments in Bohr magnetons follow the coordinates.
Fractional coordinates of all 5 atoms:
Tc1 0.500 0.000 0.000  3.01
Tl1 0.000 0.500 0.000  -0.02
Tl2 0.000 0.000 0.500  -0.02
In1 0.000 0.000 0.000  -0.06
F1 0.500 0.500 0.500  0.05

=====

Number 1: mass density 3.26 g/cm3. Number 2: mass density 16.77 g/cm3. Number 3: mass density 6.30 g/cm3.